1.
CaYCr2 | PBEsol | relaxed

Values from the calculation:
Crystal system ... orthorhombic
ΔE_f ... 0.5437 eV/atom

abc: 3.4196 5.0932 9.8207
angles: 90.00 90.00 90.00
Space group Imm2 (No. 44)
Unique sites:
Ca1 0.0000 0.0000 0.0000 [2 per cell]
Y1 0.0000 0.5000 0.2066 [2 per cell]
Cr1 0.0000 0.0000 0.4259 [2 per cell]
Cr2 0.0000 0.5000 0.7786 [2 per cell]


2.
BaCaSc2 | PBEsol | relaxed

Values from the calculation:
Crystal system ... orthorhombic
ΔE to the lowest computed polymorph ... 123 meV per atom
ΔE_f ... 0.3698 eV/atom

abc: 3.9749 5.6598 5.7124
angles: 90.00 90.00 90.00
Space group Pmmm (No. 47)
Unique sites:
Ba1 0.0000 0.0000 0.0000 [1 per cell]
Ca1 0.5000 0.5000 0.0000 [1 per cell]
Sc1 0.0000 0.5000 0.5000 [1 per cell]
Sc2 0.5000 0.0000 0.5000 [1 per cell]


3.
ZrHg2 | PBEsol | relaxed

Values from the calculation:
Crystal system ... orthorhombic
ΔE_f ... -0.2089 eV/atom

abc: 6.2529 4.4220 8.9608
angles: 90.00 90.00 90.00
Space group Pnma (No. 62)
Unique sites:
Zr1 0.1449 0.2500 0.0856 [4 per cell]
Hg1 0.0876 0.2500 0.7510 [4 per cell]
Hg2 0.1432 0.2500 0.4190 [4 per cell]


4.
LaCrO3 | PBEsol | relaxed

Values from the calculation:
Crystal system ... trigonal
Uncorrected formation energy ... -2.792 eV per atom

abc: 5.5121 5.5121 13.1091
angles: 90.00 90.00 120.00
Space group R-3c (No. 167, hexagonal axes)
Unique sites:
La1 0.0000 0.0000 0.2500 [6 per cell]
Cr1 0.0000 0.0000 0.0000 [6 per cell]
O1 0.0000 0.4329 0.2500 [18 per cell]


5.
BeZnRh | PBEsol | relaxed

Values from the calculation:
Crystal system ... cubic
ΔE to the lowest computed polymorph ... 203 meV per atom
ΔE_f ... -0.2017 eV/atom

abc: 5.2907 5.2907 5.2907
angles: 90.00 90.00 90.00
Space group F-43m (No. 216)
Unique sites:
Be1 0.0000 0.0000 0.0000 [4 per cell]
Zn1 0.2500 0.2500 0.2500 [4 per cell]
Rh1 0.2500 0.2500 0.7500 [4 per cell]


6.
Zr2TeHS | PBEsol | relaxed

Values from the calculation:
Crystal system ... tetragonal
Electronic total energy ... -6.201 eV/atom

abc: 4.6863 4.6863 3.7645
angles: 90.00 90.00 90.00
Space group P4/mmm (No. 123)
Unique sites:
Zr1 0.0000 0.5000 0.0000 [2 per cell]
Te1 0.0000 0.0000 0.5000 [1 per cell]
H1 0.0000 0.0000 0.0000 [1 per cell]
S1 0.5000 0.5000 0.5000 [1 per cell]


Mass density for every record listed, in sequence, given in g/cm³: 4.52; 3.45; 13.20; 6.90; 7.95; 6.89.